No. 1
A relaxed structure of Ac3Ag2Hg4, computed with GGA-PBE.

Density of states at the Fermi level: 11.85 states/eV/cell
Spin magnetization: 0.000 μB/atom

CIF file:
```
data_Ac3Ag2Hg4
_chemical_formula_sum 'Ac6 Ag4 Hg8'
_cell_length_a 11.693
_cell_length_b 5.070
_cell_length_c 9.579
_cell_angle_alpha 90.00
_cell_angle_beta 115.04
_cell_angle_gamma 90.00
_space_group_name_H-M_alt 'C 1 2/m 1'
_space_group_IT_number 12
loop_
_space_group_symop_operation_xyz
'x,y,z'
'-x,-y,-z'
'-x,y,-z'
'x,-y,z'
'x+1/2,y+1/2,z'
'-x+1/2,-y+1/2,-z'
'-x+1/2,y+1/2,-z'
'x+1/2,-y+1/2,z'
loop_
_atom_site_label
_atom_site_fract_x
_atom_site_fract_y
_atom_site_fract_z
Ac1 0.000 0.000 0.000
Ac2 0.168 0.500 0.663
Ag1 0.107 0.500 0.276
Hg1 0.054 0.000 0.383
Hg2 0.221 0.500 0.062
```

=====

No. 2
A relaxed structure of Pr4GaSeS2, computed with GGA-PBE.

Density of states at the Fermi level: 3.36 states/eV/cell
Spin magnetization: 0.000 μB/atom

CIF file:
```
data_Pr4GaSeS2
_chemical_formula_sum 'Pr4 Ga1 Se1 S2'
_cell_length_a 7.316
_cell_length_b 4.157
_cell_length_c 7.363
_cell_angle_alpha 90.00
_cell_angle_beta 108.90
_cell_angle_gamma 90.00
_space_group_name_H-M_alt 'P 1 2/m 1'
_space_group_IT_number 10
loop_
_space_group_symop_operation_xyz
'x,y,z'
'-x,-y,-z'
'-x,y,-z'
'x,-y,z'
loop_
_atom_site_label
_atom_site_fract_x
_atom_site_fract_y
_atom_site_fract_z
Pr1 0.241 0.000 0.242
Pr2 0.241 0.500 0.747
Ga1 0.500 0.000 0.000
Se1 0.500 0.500 0.500
S1 0.000 0.000 0.500
S2 0.000 0.500 0.000
```

=====

No. 3
A relaxed structure of ErLuMn, computed with GGA-PBE.

Density of states at the Fermi level: 8.00 states/eV/cell
Spin magnetization: 0.863 μB/atom

CIF file:
```
data_ErLuMn
_chemical_formula_sum 'Er2 Lu2 Mn2'
_cell_length_a 3.420
_cell_length_b 3.420
_cell_length_c 12.417
_cell_angle_alpha 90.00
_cell_angle_beta 90.00
_cell_angle_gamma 90.00
_space_group_name_H-M_alt 'I 4 m m'
_space_group_IT_number 107
_space_group_name_Hall 'I 4 -2'
loop_
_atom_site_label
_atom_site_fract_x
_atom_site_fract_y
_atom_site_fract_z
Er1 0.000 0.000 0.000
Lu1 0.000 0.000 0.726
Mn1 0.000 0.000 0.361
```

=====

No. 4
A relaxed structure of CeHfCuRu, computed with GGA-PBE.

Density of states at the Fermi level: 21.27 states/eV/cell
Spin magnetization: 0.000 μB/atom

CIF file:
```
data_CeHfCuRu
_chemical_formula_sum 'Ce4 Hf4 Cu4 Ru4'
_cell_length_a 6.732
_cell_length_b 6.732
_cell_length_c 6.732
_cell_angle_alpha 90.00
_cell_angle_beta 90.00
_cell_angle_gamma 90.00
_space_group_name_H-M_alt 'F -4 3 m'
_space_group_IT_number 216
_space_group_name_Hall 'F -4 2 3'
loop_
_atom_site_label
_atom_site_fract_x
_atom_site_fract_y
_atom_site_fract_z
Ce1 0.000 0.000 0.000
Hf1 0.000 0.000 0.500
Cu1 0.250 0.250 0.250
Ru1 0.250 0.250 0.750
```

=====

No. 5
A relaxed structure of Li2CaMn2N2, computed with GGA-PBE.

Density of states at the Fermi level: 8.79 states/eV/cell
Spin magnetization: 0.931 μB/atom

CIF file:
```
data_Li2CaMn2N2
_chemical_formula_sum 'Li4 Ca2 Mn4 N4'
_cell_length_a 7.061
_cell_length_b 7.061
_cell_length_c 3.757
_cell_angle_alpha 90.00
_cell_angle_beta 90.00
_cell_angle_gamma 90.00
_space_group_name_H-M_alt 'P 4/m b m'
_space_group_IT_number 127
_space_group_name_Hall '-P 4 2ab'
loop_
_atom_site_label
_atom_site_fract_x
_atom_site_fract_y
_atom_site_fract_z
Li1 0.117 0.383 0.000
Ca1 0.000 0.000 0.000
Mn1 0.173 0.673 0.500
N1 0.176 0.676 0.000
```

=====

No. 6
A relaxed structure of KTeF2, computed with GGA-PBE.

Density of states at the Fermi level: 11.51 states/eV/cell
Relative energy among the computed polymorphs: 0.457 eV per atom
Spin magnetization: 0.000 μB/atom

CIF file:
```
data_KTeF2
_chemical_formula_sum 'K4 Te4 F8'
_cell_length_a 6.838
_cell_length_b 6.838
_cell_length_c 7.244
_cell_angle_alpha 90.00
_cell_angle_beta 90.00
_cell_angle_gamma 90.00
_space_group_name_H-M_alt 'I -4 2 d'
_space_group_IT_number 122
_space_group_name_Hall 'I -4 2bw'
loop_
_atom_site_label
_atom_site_fract_x
_atom_site_fract_y
_atom_site_fract_z
K1 0.000 0.000 0.000
Te1 0.000 0.000 0.500
F1 0.239 0.250 0.625
```

=====

No. 7
A relaxed structure of MgNb2Se4I2, computed with GGA-PBE.

Density of states at the Fermi level: 4.33 states/eV/cell
Spin magnetization: 0.164 μB/atom

CIF file:
```
data_MgNb2Se4I2
_chemical_formula_sum 'Mg1 Nb2 Se4 I2'
_cell_length_a 3.6583
_cell_length_b 3.6583
_cell_length_c 22.4656
_cell_angle_alpha 90.00
_cell_angle_beta 90.00
_cell_angle_gamma 120.00
_space_group_name_H-M_alt 'P 3 m 1'
_space_group_IT_number 156
loop_
_space_group_symop_operation_xyz
'x,y,z'
'-y,x-y,z'
'-x+y,-x,z'
'-y,-x,z'
'-x+y,y,z'
'x,x-y,z'
loop_
_atom_site_label
_atom_site_fract_x
_atom_site_fract_y
_atom_site_fract_z
Mg1 0.0000 0.0000 0.0000
Nb1 0.0000 0.0000 0.6419
Nb2 0.6667 0.3333 0.3331
Se1 0.0000 0.0000 0.2603
Se2 0.0000 0.0000 0.4055
Se3 0.6667 0.3333 0.5694
Se4 0.6667 0.3333 0.7147
I1 0.6667 0.3333 0.0857
I2 0.6667 0.3333 0.9141
```

=====

No. 8
A relaxed structure of SrLi2In9, computed with GGA-PBE.

Density of states at the Fermi level: 7.96 states/eV/cell
Spin magnetization: 0.000 μB/atom

CIF file:
```
data_SrLi2In9
_chemical_formula_sum 'Sr1 Li2 In9'
_cell_length_a 4.756
_cell_length_b 4.756
_cell_length_c 13.543
_cell_angle_alpha 90.00
_cell_angle_beta 90.00
_cell_angle_gamma 90.00
_space_group_name_H-M_alt 'P 4/m m m'
_space_group_IT_number 123
_space_group_name_Hall '-P 4 2'
loop_
_atom_site_label
_atom_site_fract_x
_atom_site_fract_y
_atom_site_fract_z
Sr1 0.000 0.000 0.000
Li1 0.000 0.000 0.339
In1 0.000 0.500 0.184
In2 0.000 0.500 0.500
In3 0.500 0.500 0.000
In4 0.500 0.500 0.339
```

=====

No. 9
A relaxed structure of CaGa2Br8, computed with GGA-PBE.

Density of states at the Fermi level: 0.00 states/eV/cell
Spin magnetization: 0.008 μB/atom

CIF file:
```
data_CaGa2Br8
_chemical_formula_sum 'Ca2 Ga4 Br16'
_cell_length_a 13.008
_cell_length_b 10.400
_cell_length_c 6.636
_cell_angle_alpha 90.00
_cell_angle_beta 98.03
_cell_angle_gamma 90.00
_space_group_name_H-M_alt 'C 1 2/m 1'
_space_group_IT_number 12
loop_
_space_group_symop_operation_xyz
'x,y,z'
'-x,-y,-z'
'-x,y,-z'
'x,-y,z'
'x+1/2,y+1/2,z'
'-x+1/2,-y+1/2,-z'
'-x+1/2,y+1/2,-z'
'x+1/2,-y+1/2,z'
loop_
_atom_site_label
_atom_site_fract_x
_atom_site_fract_y
_atom_site_fract_z
Ca1 0.000 0.000 0.000
Ga1 0.202 0.000 0.658
Br1 0.108 0.181 0.763
Br2 0.126 0.500 0.201
Br3 0.194 0.000 0.296
```

=====

No. 10
A relaxed structure of PdBr3F, computed with GGA-PBE.

Density of states at the Fermi level: 2.99 states/eV/cell
Relative energy among the computed polymorphs: 0.000 eV per atom
Spin magnetization: 0.000 μB/atom

CIF file:
```
data_PdBr3F
_chemical_formula_sum 'Pd4 Br12 F4'
_cell_length_a 9.556
_cell_length_b 10.730
_cell_length_c 5.630
_cell_angle_alpha 90.00
_cell_angle_beta 121.50
_cell_angle_gamma 90.00
_space_group_name_H-M_alt 'C 1 2/m 1'
_space_group_IT_number 12
loop_
_space_group_symop_operation_xyz
'x,y,z'
'-x,-y,-z'
'-x,y,-z'
'x,-y,z'
'x+1/2,y+1/2,z'
'-x+1/2,-y+1/2,-z'
'-x+1/2,y+1/2,-z'
'x+1/2,-y+1/2,z'
loop_
_atom_site_label
_atom_site_fract_x
_atom_site_fract_y
_atom_site_fract_z
Pd1 0.000 0.000 0.000
Pd2 0.000 0.500 0.500
Br1 0.000 0.231 0.000
Br2 0.000 0.262 0.500
Br3 0.228 0.000 0.489
F1 0.128 0.500 0.909
```

=====

No. 11
A relaxed structure of ReAgIr2, computed with GGA-PBE.

Density of states at the Fermi level: 9.07 states/eV/cell
Relative energy among the computed polymorphs: 0.429 eV per atom
Spin magnetization: 0.036 μB/atom

CIF file:
```
data_ReAgIr2
_chemical_formula_sum 'Re2 Ag2 Ir4'
_cell_length_a 2.742
_cell_length_b 4.787
_cell_length_c 9.600
_cell_angle_alpha 90.00
_cell_angle_beta 90.00
_cell_angle_gamma 90.00
_space_group_name_H-M_alt 'I m m m'
_space_group_IT_number 71
_space_group_name_Hall '-I 2 2'
loop_
_atom_site_label
_atom_site_fract_x
_atom_site_fract_y
_atom_site_fract_z
Re1 0.000 0.000 0.000
Ag1 0.000 0.000 0.500
Ir1 0.000 0.500 0.268
```

=====

No. 12
A relaxed structure of TmAl2ZnAu4, computed with GGA-PBE.

Density of states at the Fermi level: 9.53 states/eV/cell
Spin magnetization: 0.000 μB/atom

CIF file:
```
data_TmAl2ZnAu4
_chemical_formula_sum 'Tm3 Al6 Zn3 Au12'
_cell_length_a 4.4313
_cell_length_b 4.4313
_cell_length_c 25.8919
_cell_angle_alpha 90.00
_cell_angle_beta 90.00
_cell_angle_gamma 120.00
_space_group_name_H-M_alt 'R -3 m'
_space_group_IT_number 166
_space_group_name_Hall '-R 3 2"'
loop_
_atom_site_label
_atom_site_fract_x
_atom_site_fract_y
_atom_site_fract_z
Tm1 0.0000 0.0000 0.0000
Al1 0.0000 0.0000 0.2446
Zn1 0.0000 0.0000 0.5000
Au1 0.0000 0.0000 0.1310
Au2 0.0000 0.0000 0.3930
```

=====

no.,DFT total energy (eV per atom)
1,-2.565
2,-5.848
3,-5.973
4,-7.512
5,-6.241
6,-3.431
7,-5.062
8,-2.687
9,-3.107
10,-2.830
11,-7.793
12,-3.792